No. 1
First-principles (PBE with a Hubbard U) data for crystalline Mn2Nb2O9 at its relaxed geometry, as listed in the Alexandria database.

Lattice parameters (Å, degrees): 4.9722 4.9722 14.3271 90.00 90.00 120.00
With the nearest neighbours (Å) after each atom.
Space group P6_3/mcm (No. 193)
Inequivalent atoms, fractional coordinates:
Mn 0.3333 0.6667 0.0000 (multiplicity 4)  6 O 1.93
Nb 0.0000 0.0000 0.1571 (multiplicity 4)  6 O 1.97-2.11
O 0.0000 0.2930 0.2500 (multiplicity 6)  2 Nb 1.97
O 0.0000 0.3491 0.5730 (multiplicity 12)  2 Mn 1.93, 1 Nb 2.11

No. 2
First-principles (PBE with a Hubbard U) data for crystalline Mn5Nb2O12 at its relaxed geometry, as listed in the Alexandria database.

Lattice parameters (Å, degrees): 5.9004 5.9186 8.7639 80.05 80.25 60.79
With the nearest neighbours (Å) after each atom.
Space group P-1 (No. 2)
Inequivalent atoms, fractional coordinates:
Mn 0.0000 0.0000 0.0000 (multiplicity 1)  4 O 1.95
Mn 0.2340 0.2320 0.7645 (multiplicity 2)  4 O 1.92-1.94
Mn 0.2955 0.2929 0.2231 (multiplicity 2)  5 O 2.04-2.17
Nb 0.2377 0.7420 0.4855 (multiplicity 2)  6 O 1.92-2.11
O 0.0793 0.5895 0.6705 (multiplicity 2)  2 Mn 1.94-2.07, 1 Nb 2.03
O 0.0902 0.0744 0.6022 (multiplicity 2)  2 Nb 1.92-2.10
O 0.0916 0.6531 0.1062 (multiplicity 2)  3 Mn 1.92-2.05
O 0.3482 0.9091 0.8962 (multiplicity 2)  3 Mn 1.92-2.04
O 0.4043 0.9167 0.3219 (multiplicity 2)  2 Mn 1.94-2.06, 1 Nb 2.02
O 0.4273 0.4164 0.3937 (multiplicity 2)  2 Nb 1.93-2.11

No. 3
First-principles (PBE with a Hubbard U) data for crystalline MnNb3O8 at its relaxed geometry, as listed in the Alexandria database.

Lattice parameters (Å, degrees): 13.1294 3.9351 6.9491 90.00 106.64 90.00
With the nearest neighbours (Å) after each atom.
Space group Cm (No. 8)
Inequivalent atoms, fractional coordinates:
Mn 0.0000 0.0000 0.0000 (multiplicity 2)  4 O 2.04-2.16
Nb 0.0912 0.0000 0.5742 (multiplicity 2)  2 O 1.80-1.97
Nb 0.2944 0.0000 0.0083 (multiplicity 2)  4 O 1.90-2.00
Nb 0.3871 0.0000 0.5884 (multiplicity 2)  5 O 1.92-2.14
O 0.0522 0.5000 0.6015 (multiplicity 2)  3 Nb 2.06-2.14
O 0.0629 0.0000 0.3051 (multiplicity 2)  1 Nb 1.80
O 0.1438 0.0000 0.9161 (multiplicity 2)  1 Nb 1.90
O 0.2478 0.0000 0.6459 (multiplicity 2)  2 Nb 1.97-1.98
O 0.3194 0.5000 0.0062 (multiplicity 2)  2 Nb 2.00
O 0.3300 0.0000 0.3015 (multiplicity 2)  2 Nb 1.92-1.96
O 0.4326 0.5000 0.6161 (multiplicity 2)  3 Nb 2.05-2.18
O 0.4349 0.0000 0.9141 (multiplicity 2)  2 Nb 2.13-2.17, 2 Mn 2.16

No. 4
First-principles (PBE with a Hubbard U) data for crystalline Mn3Nb2O9 at its relaxed geometry, as listed in the Alexandria database.

Lattice parameters (Å, degrees): 5.2731 5.2731 14.5739 90.00 90.00 120.00
With the nearest neighbours (Å) after each atom.
Space group P3c1 (No. 158)
Inequivalent atoms, fractional coordinates:
Mn 0.0000 0.0000 0.0000 (multiplicity 2)  6 O 2.06-2.31
Mn 0.0000 0.0000 0.2064 (multiplicity 2)  6 O 1.90-2.07
Mn 0.6667 0.3333 0.0320 (multiplicity 2)  6 O 2.14-2.24
Nb 0.3333 0.6667 0.1705 (multiplicity 2)  6 O 1.99-2.07
Nb 0.3333 0.6667 0.3826 (multiplicity 2)  3 O 1.88
O 0.0080 0.3050 0.1152 (multiplicity 6)  1 Nb 1.99, 1 Mn 2.07
O 0.0108 0.3666 0.4456 (multiplicity 6)  1 Nb 1.88, 1 Mn 2.06
O 0.0917 0.3528 0.7686 (multiplicity 6)  1 Mn 1.90, 1 Nb 2.07

The E_tot results, record by record, are as follows: -7.92 -8.03 -8.83 -8.24 eV per atom.